# 1
Computed, not measured: crystalline Tb2BeNi at its relaxed geometry at the PBE-GGA level of DFT.

Values from the calculation:
Theoretical density (g/cm3): 8.1
Space group: No. 123
Calculated formation energy (eV/f.u.): -0.55
Crystal system: tetragonal
E_tot (eV per atom): -4.830

a = 3.430 Å, b = 3.430 Å, c = 6.729 Å
α = 90.00°, β = 90.00°, γ = 90.00°
Atoms (fractional coordinates):
Ni  0.500  0.500  0.500
Tb  0.000  0.000  0.747
Tb  0.000  0.000  0.253
Be  0.500  0.500  0.000

***

# 2
Computed, not measured: crystalline CaSiH at its relaxed geometry at the PBE-GGA level of DFT.

Values from the calculation:
Theoretical density (g/cm3): 2.2
Space group: No. 160
Crystal system: trigonal
E_tot (eV per atom): -3.987

a = 3.816 Å, b = 3.816 Å, c = 25.266 Å
α = 90.00°, β = 90.00°, γ = 120.00°
Atoms (fractional coordinates):
Ca  0.000  0.000  0.530
Ca  0.333  0.667  0.196
Ca  0.667  0.333  0.863
Ca  0.000  0.000  0.988
Ca  0.333  0.667  0.655
Ca  0.667  0.333  0.322
Si  0.000  0.000  0.745
Si  0.333  0.667  0.412
Si  0.667  0.333  0.078
Si  0.000  0.000  0.115
Si  0.333  0.667  0.781
Si  0.667  0.333  0.448
H  0.000  0.000  0.621
H  0.333  0.667  0.288
H  0.667  0.333  0.954
H  0.000  0.000  0.895
H  0.333  0.667  0.562
H  0.667  0.333  0.229

***

# 3
Computed, not measured: crystalline Ta3C at its relaxed geometry at the PBE-GGA level of DFT.

Values from the calculation:
Theoretical density (g/cm3): 15.1
Space group: No. 166
Calculated formation energy (eV/f.u.): -1.45
Crystal system: trigonal
E_tot (eV per atom): -11.558

a = 7.604 Å, b = 7.604 Å, c = 7.604 Å
α = 23.43°, β = 23.43°, γ = 23.43°
Atoms (fractional coordinates):
C  0.000  0.000  0.000
Ta  0.724  0.724  0.724
Ta  0.500  0.500  0.500
Ta  0.276  0.276  0.276

***

# 4
Computed, not measured: crystalline SbTe2As at its relaxed geometry at the PBE-GGA level of DFT.

Values from the calculation:
Theoretical density (g/cm3): 6.5
Space group: No. 10
Formation energy from raw total energies (kcal/mol of atoms): 1.88
Crystal system: monoclinic
E_tot (eV per atom): -3.682

a = 4.308 Å, b = 7.453 Å, c = 6.106 Å
α = 36.31°, β = 90.00°, γ = 90.00°
Atoms (fractional coordinates):
Sb  0.000  0.000  0.500
As  0.500  0.500  0.500
Te  0.000  0.000  0.000
Te  0.500  0.500  0.000

***

# 5
Computed, not measured: crystalline Ge2TePbO8 at its relaxed geometry at the PBE-GGA level of DFT.

Values from the calculation:
Theoretical density (g/cm3): 5.7
Space group: No. 12
Formation energy from raw total energies (kcal/mol of atoms): -29.16
Crystal system: monoclinic
E_tot (eV per atom): -5.910

a = 4.949 Å, b = 4.949 Å, c = 7.794 Å
α = 88.70°, β = 88.70°, γ = 68.38°
Atoms (fractional coordinates):
Ge  0.640  0.640  0.213
Ge  0.360  0.360  0.787
Te  0.000  0.000  0.000
Pb  0.000  0.000  0.500
O  0.753  0.229  0.815
O  0.765  0.765  0.021
O  0.702  0.702  0.419
O  0.298  0.298  0.581
O  0.235  0.235  0.979
O  0.229  0.753  0.815
O  0.771  0.247  0.185
O  0.247  0.771  0.185

***

# 6
Computed, not measured: crystalline CaTlSn2H at its relaxed geometry at the PBE-GGA level of DFT.

Values from the calculation:
Theoretical density (g/cm3): 6.9
Space group: No. 123
Crystal system: tetragonal
E_tot (eV per atom): -3.265

a = 4.847 Å, b = 4.847 Å, c = 4.914 Å
α = 90.00°, β = 90.00°, γ = 90.00°
Atoms (fractional coordinates):
H  0.000  0.000  0.000
Tl  0.500  0.500  0.500
Ca  0.000  0.000  0.500
Sn  0.000  0.500  0.000
Sn  0.500  0.000  0.000

***

# 7
Computed, not measured: crystalline CaPd3Rh4O12 at its relaxed geometry at the PBE-GGA level of DFT.

Values from the calculation:
Theoretical density (g/cm3): 7.2
Space group: No. 204
Formation energy from raw total energies (kcal/mol of atoms): -19.13
Crystal system: cubic
E_tot (eV per atom): -6.154

a = 6.608 Å, b = 6.608 Å, c = 6.608 Å
α = 109.47°, β = 109.47°, γ = 109.47°
Atoms (fractional coordinates):
Ca  0.000  0.000  0.000
Pd  0.000  0.500  0.500
Pd  0.500  0.500  0.000
Pd  0.500  0.000  0.500
Rh  0.500  0.000  0.000
Rh  0.500  0.500  0.500
Rh  0.000  0.500  0.000
Rh  0.000  0.000  0.500
O  0.302  0.826  0.128
O  0.698  0.174  0.872
O  0.698  0.826  0.525
O  0.872  0.698  0.174
O  0.826  0.128  0.302
O  0.174  0.475  0.302
O  0.475  0.302  0.174
O  0.174  0.872  0.698
O  0.302  0.174  0.475
O  0.128  0.302  0.826
O  0.826  0.525  0.698
O  0.525  0.698  0.826

***

# 8
Computed, not measured: crystalline Rb2Ni2Se at its relaxed geometry at the PBE-GGA level of DFT.

Values from the calculation:
Theoretical density (g/cm3): 4.8
Space group: No. 139
Formation energy from raw total energies (kcal/mol of atoms): 3.30
Crystal system: tetragonal
E_tot (eV per atom): -3.253

a = 3.436 Å, b = 3.436 Å, c = 11.089 Å
α = 81.09°, β = 81.09°, γ = 90.00°
Atoms (fractional coordinates):
Ni  0.750  0.250  0.500
Ni  0.250  0.750  0.500
Se  0.000  0.000  0.000
Rb  0.391  0.391  0.217
Rb  0.609  0.609  0.783